a.
The following is a DFT calculation (PBE) of a relaxed Th3Sb crystal.

Space group: Imm2 (44)

```
Th3Sb
1.0
-2.2430 3.1157 -0.9080
-4.7442 -3.2434 0.5903
3.2323 1.3948 5.3715
Sb Th
1 3
direct
0.0000 0.0079 0.0000
0.2675 0.6069 0.5350
0.5000 0.4800 0.0000
0.7325 0.0719 0.4650
```



b.
The following is a DFT calculation (PBE) of a relaxed Th3Sb crystal.

Space group: P2_1/m (11)

```
Th3Sb
1.0
3.8862 0.0000 0.0000
0.0000 6.7678 0.1668
0.0000 -1.4496 9.6980
Th Sb
6 2
direct
0.2500 0.5908 0.8638
0.7500 0.8851 0.1306
0.7500 0.4092 0.1362
0.2500 0.1149 0.8694
0.2500 0.1877 0.3971
0.7500 0.8123 0.6029
0.2500 0.6851 0.3481
0.7500 0.3149 0.6519
```



Verdict on stability: a comes out on top.